Entry 1:
## CaFeGe2O6 (PBE+U)

Data for a relaxed structure of CaFeGe2O6.

a b c (Å): 5.502 6.905 6.905
angles (deg): 83.57 79.63 79.63
Site moments in Bohr magnetons follow the coordinates.
Fractional coordinates of all 20 atoms:
Ca (0.250, 0.304, 0.696)  0.00
Ge (0.226, 0.812, 0.616)  0.01
O (0.859, 0.017, 0.205)  0.03
Ge (0.774, 0.188, 0.384)  0.01
Ge (0.274, 0.384, 0.188)  0.01
O (0.972, 0.678, 0.608)  0.00
O (0.348, 0.887, 0.376)  0.02
O (0.152, 0.624, 0.113)  0.02
O (0.028, 0.322, 0.392)  0.00
O (0.528, 0.392, 0.322)  0.00
O (0.141, 0.983, 0.795)  0.03
O (0.652, 0.113, 0.624)  0.02
O (0.472, 0.608, 0.678)  0.00
O (0.359, 0.205, 0.017)  0.03
O (0.641, 0.795, 0.983)  0.03
O (0.848, 0.376, 0.887)  0.02
Ge (0.726, 0.616, 0.812)  0.01
Ca (0.750, 0.696, 0.304)  0.00
Fe (0.750, 0.090, 0.910)  3.77
Fe (0.250, 0.910, 0.090)  3.77

Calculated values
- SG: C2/c, No. 15
- E_tot: -132.71 eV per cell

Entry 2:
## HoV3O9 (PBE+U)

Data for a relaxed structure of HoV3O9.

a b c (Å): 7.464 8.495 9.589
angles (deg): 73.78 67.09 63.94
Fractional coordinates of all 26 atoms:
Ho (0.003, 0.501, 0.994)
V (0.456, 0.750, 0.244)
V (0.992, 0.051, 0.167)
V (0.789, 0.551, 0.667)
O (0.254, 0.936, 0.181)
O (0.379, 0.563, 0.307)
O (0.517, 0.197, 0.601)
O (0.652, 0.772, 0.651)
O (0.817, 0.985, 0.319)
O (0.350, 0.229, 0.338)
V (0.216, 0.450, 0.322)
O (0.488, 0.804, 0.388)
O (0.925, 0.272, 0.151)
O (0.002, 0.502, 0.494)
O (0.685, 0.697, 0.101)
O (0.321, 0.304, 0.888)
O (0.629, 0.436, 0.681)
O (0.879, 0.485, 0.819)
O (0.751, 0.063, 0.807)
O (0.082, 0.729, 0.838)
V (0.549, 0.250, 0.744)
V (0.012, 0.950, 0.822)
O (0.186, 0.017, 0.670)
O (0.001, 0.002, 0.994)
O (0.126, 0.517, 0.170)
Ho (0.502, 0.001, 0.494)

Calculated values
- SG: Cc, No. 9
- E_tot: -201.35 eV per cell